#a
First-principles (PBE-GGA) data for a relaxed structure of K6Na3Hg, as listed in Alexandria via LeMat-Bulk.

Summary:
Fermi-level density of states in states/eV per atom: 0.5333

Geometry as CIF:
```
data_K6Na3Hg
_chemical_formula_sum 'K12 Na6 Hg2'
_space_group_name_H-M_alt 'P n n m'
_space_group_IT_number 58
_cell_length_a 11.688
_cell_length_b 14.949
_cell_length_c 6.213
_cell_angle_alpha 90.00
_cell_angle_beta 90.00
_cell_angle_gamma 90.00
loop_
_space_group_symop_operation_xyz
'x,y,z'
'-x,-y,-z'
'-x,-y,z'
'x,y,-z'
'x+1/2,-y+1/2,-z+1/2'
'-x+1/2,y+1/2,z+1/2'
'-x+1/2,y+1/2,-z+1/2'
'x+1/2,-y+1/2,z+1/2'
loop_
_atom_site_label
_atom_site_type_symbol
_atom_site_fract_x
_atom_site_fract_y
_atom_site_fract_z
_atom_site_occupancy
K1 K 0.023 0.237 0.000 1
K2 K 0.154 0.066 0.500 1
K3 K 0.208 0.393 0.500 1
Na1 Na 0.000 0.500 0.000 1
Na2 Na 0.144 0.660 0.500 1
Hg1 Hg 0.000 0.000 0.000 1
```

=====

#b
First-principles (PBE-GGA) data for a relaxed structure of K6Na3Hg, as listed in Alexandria via LeMat-Bulk.

Summary:
Fermi-level density of states in states/eV per atom: 0.6364

Geometry as CIF:
```
data_K6Na3Hg
_chemical_formula_sum 'K12 Na6 Hg2'
_space_group_name_H-M_alt 'P 1 21/m 1'
_space_group_IT_number 11
_cell_length_a 11.318
_cell_length_b 6.607
_cell_length_c 15.158
_cell_angle_alpha 90.00
_cell_angle_beta 111.02
_cell_angle_gamma 90.00
loop_
_space_group_symop_operation_xyz
'x,y,z'
'-x,-y,-z'
'-x,y+1/2,-z'
'x,-y+1/2,z'
loop_
_atom_site_label
_atom_site_type_symbol
_atom_site_fract_x
_atom_site_fract_y
_atom_site_fract_z
_atom_site_occupancy
K1 K 0.006 0.250 0.413 1
K2 K 0.184 0.750 0.153 1
K3 K 0.273 0.250 0.002 1
K4 K 0.357 0.750 0.833 1
K5 K 0.366 0.250 0.345 1
K6 K 0.381 0.250 0.648 1
Na1 Na 0.025 0.750 0.866 1
Na2 Na 0.080 0.250 0.734 1
Na3 Na 0.258 0.750 0.456 1
Hg1 Hg 0.468 0.750 0.093 1
```

=====

It comes down to #b, which is 13 meV per atom more stable than the next structure.

=====

#a
First-principles (PBE-GGA) data for a relaxed structure of K12Na5Hg2, as listed in Alexandria via LeMat-Bulk.

Summary:
Fermi-level density of states in states/eV per atom: 0.6193

Geometry as CIF:
```
data_K12Na5Hg2
_chemical_formula_sum 'K24 Na10 Hg4'
_space_group_name_H-M_alt 'C 1 2/m 1'
_space_group_IT_number 12
_cell_length_a 19.176
_cell_length_b 10.819
_cell_length_c 10.303
_cell_angle_alpha 90.00
_cell_angle_beta 93.94
_cell_angle_gamma 90.00
loop_
_space_group_symop_operation_xyz
'x,y,z'
'-x,-y,-z'
'-x,y,-z'
'x,-y,z'
'x+1/2,y+1/2,z'
'-x+1/2,-y+1/2,-z'
'-x+1/2,y+1/2,-z'
'x+1/2,-y+1/2,z'
loop_
_atom_site_label
_atom_site_type_symbol
_atom_site_fract_x
_atom_site_fract_y
_atom_site_fract_z
_atom_site_occupancy
K1 K 0.032 0.000 0.227 1
K2 K 0.056 0.500 0.662 1
K3 K 0.144 0.216 0.913 1
K4 K 0.163 0.311 0.356 1
Na1 Na 0.000 0.500 0.000 1
Na2 Na 0.132 0.000 0.566 1
Na3 Na 0.242 0.000 0.239 1
Hg1 Hg 0.000 0.208 0.500 1
```

=====

#b
First-principles (PBE-GGA) data for a relaxed structure of K12Na5Hg2, as listed in Alexandria via LeMat-Bulk.

Summary:
Fermi-level density of states in states/eV per atom: 0.6198

Geometry as CIF:
```
data_K12Na5Hg2
_chemical_formula_sum 'K24 Na10 Hg4'
_space_group_name_H-M_alt 'C 1 2/m 1'
_space_group_IT_number 12
_cell_length_a 15.744
_cell_length_b 13.012
_cell_length_c 10.196
_cell_angle_alpha 90.00
_cell_angle_beta 102.46
_cell_angle_gamma 90.00
loop_
_space_group_symop_operation_xyz
'x,y,z'
'-x,-y,-z'
'-x,y,-z'
'x,-y,z'
'x+1/2,y+1/2,z'
'-x+1/2,-y+1/2,-z'
'-x+1/2,y+1/2,-z'
'x+1/2,-y+1/2,z'
loop_
_atom_site_label
_atom_site_type_symbol
_atom_site_fract_x
_atom_site_fract_y
_atom_site_fract_z
_atom_site_occupancy
K1 K 0.100 0.000 0.223 1
K2 K 0.106 0.500 0.650 1
K3 K 0.107 0.232 0.868 1
K4 K 0.165 0.318 0.330 1
Na1 Na 0.000 0.500 0.000 1
Na2 Na 0.110 0.000 0.601 1
Na3 Na 0.233 0.500 0.041 1
Hg1 Hg 0.000 0.215 0.500 1
```

=====

It comes down to #b, which is 26 meV per atom more stable than the next structure.